# YSc2Te | Alexandria via LeMat-Bulk | GGA-PBE | optimized geometry
data_YSc2Te
_space_group_name_H-M_alt 'P 1'
_space_group_IT_number 1
_cell_length_a 3.660
_cell_length_b 5.273
_cell_length_c 10.773
_cell_angle_alpha 90.00
_cell_angle_beta 90.00
_cell_angle_gamma 90.00
loop_
_space_group_symop_operation_xyz
'x,y,z'
loop_
_atom_site_label
_atom_site_type_symbol
_atom_site_fract_x
_atom_site_fract_y
_atom_site_fract_z
Y1 Y 0.000 0.000 0.000
Y2 Y 0.500 0.500 0.500
Sc1 Sc 0.000 0.500 0.223
Sc2 Sc 0.000 0.500 0.777
Sc3 Sc 0.500 0.000 0.277
Sc4 Sc 0.500 0.000 0.723
Te1 Te 0.000 0.000 0.500
Te2 Te 0.500 0.500 0.000
# Calculated total energy in eV/atom: -6.05
# Magnetization in μB/cell: 0.00
# Raw formation energy in eV per formula unit: -1.92